A plane-wave DFT calculation with GGA-PBE was carried out for crystalline Sm2Dy2YTm at its relaxed geometry.

a b c (Å): 6.999 5.627 9.748
angles (deg): 90.00 90.00 90.00
Space group Pmma (No. 51)
One atom of each set of equivalent atoms:
Sm 0.000 0.000 0.000 (multiplicity 2)
Sm 0.250 0.500 0.174 (multiplicity 2)
Dy 0.250 0.000 0.331 (multiplicity 2)
Dy 0.250 0.500 0.838 (multiplicity 2)
Y 0.000 0.500 0.500 (multiplicity 2)
Tm 0.250 0.000 0.661 (multiplicity 2)

- final energy (eV/atom) = -4.8646
- total moment (μB/cell) = 0.000
- DOS(E_F) (states/eV per cell) = 19.542
- energy of formation (kJ/mol of atoms) = 6.3